HfP2SCl | GGA-PBE | optimized geometry

The space group is P4/mmm (No. 123) and the conventional cell measures 4.624, 4.624 and 4.307 Å, with angles of 90.00, 90.00 and 90.00 degrees. Symmetry generates all atoms from Hf at (0.000, 0.000, 0.000), P at (0.000, 0.500, 0.500), S at (0.500, 0.500, 0.500) and Cl at (0.500, 0.500, 0.000).

As for the total magnetization: 0.0 μB/f.u. The uncorrected formation energy is 520 meV per atom.



Be2WSe | GGA-PBE | optimized geometry

The space group is F-43m (No. 216) and the conventional cell measures 5.978, 5.978 and 5.978 Å, with angles of 90.00, 90.00 and 90.00 degrees. Symmetry generates all atoms from Be at (0.000, 0.000, 0.000), Be at (0.250, 0.250, 0.250), W at (0.250, 0.250, 0.750) and Se at (0.000, 0.000, 0.500).

As for the total magnetization: 0.0 μB/f.u. The uncorrected formation energy is 799 meV per atom.



Sr2CaBSe | GGA-PBE | optimized geometry

The space group is P4/mmm (No. 123) and the conventional cell measures 5.859, 5.859 and 5.389 Å, with angles of 90.00, 90.00 and 90.00 degrees. Symmetry generates all atoms from Sr at (0.000, 0.500, 0.000), Ca at (0.000, 0.000, 0.500), B at (0.500, 0.500, 0.500) and Se at (0.000, 0.000, 0.000).

As for the total magnetization: 0.0 μB/f.u. The uncorrected formation energy is 131 meV per atom.



Pm2Np3S8 | GGA-PBE | optimized geometry

The space group is C2/m (No. 12) and the conventional cell measures 14.060, 7.960 and 6.814 Å, with angles of 90.00, 110.00 and 90.00 degrees. Symmetry generates all atoms from Pm at (0.233, 0.000, 0.160), Np at (0.000, 0.242, 0.500), Np at (0.000, 0.500, 0.000), S at (0.111, 0.000, 0.408), S at (0.113, 0.500, 0.426) and S at (0.124, 0.269, 0.909).

As for the total magnetization: 3.4 μB/f.u. The uncorrected formation energy is -1534 meV per atom.



Tm2ThSn | GGA-PBE | optimized geometry

The space group is P4/mmm (No. 123) and the conventional cell measures 3.814, 3.814 and 7.797 Å, with angles of 90.00, 90.00 and 90.00 degrees. Symmetry generates all atoms from Tm at (0.000, 0.000, 0.221), Th at (0.500, 0.500, 0.500) and Sn at (0.500, 0.500, 0.000).

The formation energy comes out at -1.17 eV per formula unit. As for the total magnetization: 0.0 μB/f.u.



CeSc4S6 | GGA-PBE | optimized geometry

The space group is Cmcm (No. 63) and the conventional cell measures 3.737, 12.211 and 18.934 Å, with angles of 90.00, 90.00 and 90.00 degrees. Symmetry generates all atoms from Ce at (0.000, 0.157, 0.250), Sc at (0.000, 0.093, 0.624), Sc at (0.000, 0.360, 0.540), S at (0.000, 0.000, 0.000), S at (0.000, 0.173, 0.750), S at (0.000, 0.268, 0.087) and S at (0.000, 0.457, 0.661).

As for the total magnetization: 0.9 μB/f.u. The uncorrected formation energy is -1944 meV per atom.



ErNiGe | GGA-PBE | optimized geometry

The space group is C2/m (No. 12) and the conventional cell measures 10.136, 4.117 and 6.826 Å, with angles of 90.00, 131.81 and 90.00 degrees. Symmetry generates all atoms from Er at (0.052, 0.000, 0.312), Ni at (0.168, 0.500, 0.719) and Ge at (0.171, 0.500, 0.102).

The formation energy comes out at -2.18 eV per formula unit. As for the total magnetization: 0.0 μB/f.u.



LiNd2Pb3Se6 | GGA-PBE | optimized geometry

The space group is C2/m (No. 12) and the conventional cell measures 18.841, 4.365 and 8.560 Å, with angles of 90.00, 104.36 and 90.00 degrees. Symmetry generates all atoms from Li at (0.000, 0.000, 0.000), Nd at (0.163, 0.500, 0.328), Pb at (0.000, 0.000, 0.500), Pb at (0.161, 0.500, 0.848), Se at (0.004, 0.500, 0.238), Se at (0.165, 0.000, 0.089) and Se at (0.171, 0.000, 0.575).

As for the total magnetization: 0.0 μB/f.u. The uncorrected formation energy is -1080 meV per atom.



SiPRh4 | GGA-PBE | optimized geometry

The space group is F-43m (No. 216) and the conventional cell measures 7.210, 7.210 and 7.210 Å, with angles of 90.00, 90.00 and 90.00 degrees. Symmetry generates all atoms from Si at (0.000, 0.000, 0.000), P at (0.250, 0.250, 0.750) and Rh at (0.125, 0.125, 0.375).

As for the total magnetization: 0.0 μB/f.u. The uncorrected formation energy is 489 meV per atom.



LiGaAg | GGA-PBE | optimized geometry

The space group is I4mm (No. 107) and the conventional cell measures 3.324, 3.324 and 8.689 Å, with angles of 90.00, 90.00 and 90.00 degrees. Symmetry generates all atoms from Li at (0.000, 0.000, 0.000), Ga at (0.000, 0.000, 0.665) and Ag at (0.000, 0.000, 0.340).

The formation energy comes out at -0.67 eV per formula unit. As for the total magnetization: 0.0 μB/f.u.



MgTl2GaSe4 | GGA-PBE | optimized geometry

The space group is C2 (No. 5) and the conventional cell measures 10.156, 9.299 and 7.184 Å, with angles of 90.00, 134.98 and 90.00 degrees. Symmetry generates all atoms from Mg at (0.000, 0.000, 0.000), Tl at (0.000, 0.501, 0.000), Tl at (0.000, 0.750, 0.500), Ga at (0.000, 0.250, 0.500), Se at (0.183, 0.116, 0.458) and Se at (0.225, 0.384, 0.908).

As for the total magnetization: 0.0 μB/f.u. The uncorrected formation energy is -574 meV per atom.



Sn3HgSe4 | GGA-PBE | optimized geometry

The space group is R3m (No. 160, hexagonal axes) and the conventional cell measures 4.2096, 4.2096 and 56.6498 Å, with angles of 90.00, 90.00 and 120.00 degrees. Symmetry generates all atoms from Sn at (0.0000, 0.0000, 0.0000), Sn at (0.0000, 0.0000, 0.2453), Sn at (0.0000, 0.0000, 0.7545), Hg at (0.0000, 0.0000, 0.5007), Se at (0.0000, 0.0000, 0.0621), Se at (0.0000, 0.0000, 0.3078), Se at (0.0000, 0.0000, 0.5533) and Se at (0.0000, 0.0000, 0.8177).

As for the total magnetization: 0.0 μB/f.u. The uncorrected formation energy is -241 meV per atom.



> Which formula does entry 9 have?

SiPRh4



> Which value of total magnetization does entry 6 give?

0.9 μB/f.u.



> total magnetization of number 11 (MgTl2GaSe4)?

0.0 μB/f.u.